A relaxed InHgSeN2 crystal, computed with PBE.

The structure belongs to space group P4/mmm (No. 123); the cell edges are 4.283, 4.283 and 6.086 Å and the angles 90.00°, 90.00° and 90.00°. The inequivalent atoms are In at (0.000, 0.000, 0.000), Hg at (0.500, 0.500, 0.500), Se at (0.500, 0.500, 0.000) and N at (0.000, 0.500, 0.500).

For the offset from the most stable computed form, the calculation gives 295 meV per atom. The calculation puts the uncorrected formation energy at 1601 meV per atom.

A relaxed CeRu2Pb crystal, computed with PBE.

The structure belongs to space group Fm-3m (No. 225); the cell edges are 6.761, 6.761 and 6.761 Å and the angles 90.00°, 90.00° and 90.00°. The inequivalent atoms are Ce at (0.000, 0.000, 0.000), Ru at (0.250, 0.250, 0.250) and Pb at (0.000, 0.000, 0.500).

For the offset from the most stable computed form, the calculation gives 10 meV per atom. The calculation puts the formation energy from the elements at -154 meV per atom.

A relaxed Er2Tm3 crystal, computed with PBE.

The structure belongs to space group C2/c (No. 15); the cell edges are 11.623, 6.168 and 9.018 Å and the angles 90.00°, 109.94° and 90.00°. The inequivalent atoms are Er at (0.100, 0.167, 0.450), Tm at (0.000, 0.334, 0.750) and Tm at (0.200, 0.334, 0.150).

For the offset from the most stable computed form, the calculation gives 0 meV per atom. The calculation puts the formation energy from the elements at -3 meV per atom.

A relaxed CsAcAgS3 crystal, computed with PBE.

The structure belongs to space group Cmcm (No. 63); the cell edges are 4.482, 14.879 and 11.710 Å and the angles 90.00°, 90.00° and 90.00°. The inequivalent atoms are Cs at (0.000, 0.238, 0.250), Ac at (0.000, 0.500, 0.000), Ag at (0.000, 0.048, 0.750), S at (0.000, 0.124, 0.559) and S at (0.000, 0.460, 0.750).

The calculation puts the uncorrected formation energy at -1179 meV per atom.

A relaxed Ba3CdCu crystal, computed with PBE.

The structure belongs to space group Pm-3m (No. 221); the cell edges are 6.220, 6.220 and 6.220 Å and the angles 90.00°, 90.00° and 90.00°. The inequivalent atoms are Ba at (0.000, 0.000, 0.500), Cd at (0.500, 0.500, 0.500) and Cu at (0.000, 0.000, 0.000).

For the offset from the most stable computed form, the calculation gives 168 meV per atom. The calculation puts the formation energy from the elements at 44 meV per atom.

A relaxed CsCaCl2F crystal, computed with PBE.

The structure belongs to space group P4/mmm (No. 123); the cell edges are 5.611, 5.611 and 4.457 Å and the angles 90.00°, 90.00° and 90.00°. The inequivalent atoms are Cs at (0.000, 0.000, 0.000), Ca at (0.500, 0.500, 0.500), Cl at (0.000, 0.500, 0.500) and F at (0.500, 0.500, 0.000).

The calculation puts the uncorrected formation energy at -2679 meV per atom.

A relaxed NaNiCl6 crystal, computed with PBE.

The structure belongs to space group C2/m (No. 12); the cell edges are 9.513, 9.906 and 6.917 Å and the angles 90.00°, 128.25° and 90.00°. The inequivalent atoms are Na at (0.000, 0.000, 0.000), Ni at (0.000, 0.500, 0.500), Cl at (0.081, 0.500, 0.187) and Cl at (0.205, 0.342, 0.697).

For the offset from the most stable computed form, the calculation gives 0 meV per atom. The calculation puts the uncorrected formation energy at -579 meV per atom.